1.
A relaxed structure of RbDySnBr6, computed with PBE.

Results
Mass density = 3.74 g/cm³
DFT total energy = -33.22 eV/cell
D(E_F) = 0.000 states/eV per cell
Energy relative to the elements, uncorrected = -1512 meV/atom
SG = P312, No. 149

Unit cell a=7.6011 b=7.6008 c=7.5171 alpha=90.00 beta=90.00 gamma=60.00
Closest atoms and distances in Å follow each position.
Sites, in units of the cell vectors:
Rb 0.0000 0.0000 0.0000  6 Br 3.53
Dy 0.3333 0.3334 0.5000  6 Br 2.82
Sn 0.6666 0.6667 0.5000  6 Br 3.00
Br 0.0186 0.3612 0.2821  1 Dy 2.82, 1 Sn 3.00
Br 0.3611 0.0186 0.7179  1 Dy 2.82, 1 Sn 3.00
Br 0.6202 0.3612 0.7179  1 Dy 2.82, 1 Sn 3.00
Br 0.0186 0.6202 0.7179  1 Dy 2.82, 1 Sn 3.00
Br 0.3611 0.6202 0.2821  1 Dy 2.82, 1 Sn 3.00
Br 0.6202 0.0186 0.2821  1 Dy 2.82, 1 Sn 3.00

2.
A relaxed structure of MgZnTc2O8, computed with PBE.

Results
Mass density = 4.44 g/cm³
DFT total energy = -80.49 eV/cell
D(E_F) = 4.578 states/eV per cell
Energy relative to the elements, uncorrected = -1436 meV/atom
SG = I-4m2, No. 119

Unit cell a=5.8561 b=5.8561 c=5.8561 alpha=109.63 beta=109.63 gamma=109.16
Closest atoms and distances in Å follow each position.
Sites, in units of the cell vectors:
Mg 0.2500 0.7500 0.5000  4 O 2.06
Zn 0.0000 0.0000 0.0000  4 O 2.05
Tc 0.7500 0.2500 0.5000  4 O 1.80
Tc 0.5000 0.5000 0.0000  4 O 1.78
O 0.3760 0.0839 0.2921  1 Tc 1.80
O 0.3412 0.5507 0.2095  1 Tc 1.78
O 0.3412 0.1317 0.7905  1 Tc 1.78
O 0.7918 0.0839 0.7079  1 Tc 1.80
O 0.8683 0.6588 0.2095  1 Tc 1.78
O 0.9161 0.2082 0.2921  1 Tc 1.80
O 0.9161 0.6240 0.7079  1 Tc 1.80
O 0.4493 0.6588 0.7905  1 Tc 1.78